ErAlIn2S6 | PBE | optimized geometry

Lattice parameters (Å, degrees): 6.775 8.969 8.969 95.31 75.71 75.71
Element x y z (fractional)
1 Er 0.250 0.905 0.095
2 Er 0.750 0.095 0.905
3 Al 0.250 0.169 0.831
4 Al 0.750 0.831 0.169
5 In 0.348 0.707 0.530
6 In 0.152 0.470 0.293
7 In 0.652 0.293 0.470
8 In 0.848 0.530 0.707
9 S 0.170 0.936 0.808
10 S 0.330 0.192 0.064
11 S 0.830 0.064 0.192
12 S 0.670 0.808 0.936
13 S 0.426 0.891 0.344
14 S 0.074 0.656 0.109
15 S 0.574 0.109 0.656
16 S 0.926 0.344 0.891
17 S 0.976 0.707 0.533
18 S 0.524 0.467 0.293
19 S 0.024 0.293 0.467
20 S 0.476 0.533 0.707

Output
raw formation energy = -0.9996 eV/atom
symmetry = C2/c, No. 15